This record from Alexandria describes Tl6V3Br14 after structural relaxation. The functional is PBE.

abc: 6.6099 12.0988 12.0988
angles: 120.00 90.00 90.00
Last column: nearest neighbours and their distance in Å.
Positions (direct):
Tl (0.2591, 0.7859, 0.1077)  3 Br 3.20-3.35
Tl (0.2591, 0.8923, 0.6782)  3 Br 3.20-3.35
Tl (0.2591, 0.3218, 0.2141)  3 Br 3.20-3.35
Tl (0.7488, 0.5449, 0.5558)  4 Br 3.20-3.52
Tl (0.7488, 0.4442, 0.9891)  4 Br 3.20-3.52
Tl (0.7488, 0.0109, 0.4551)  4 Br 3.20-3.52
V (0.8292, 0.0000, 0.0000)  4 Br 2.39-2.40
V (0.3331, 0.3333, 0.6667)  4 Br 2.38-2.40
V (0.4962, 0.6667, 0.3333)  6 Br 2.66-2.67
Br (0.9533, 0.0743, 0.2117)  1 V 2.40
Br (0.9533, 0.7883, 0.8626)  1 V 2.40
Br (0.9533, 0.1374, 0.9257)  1 V 2.40
Br (0.4591, 0.2541, 0.4541)  1 V 2.40
Br (0.4591, 0.5459, 0.8000)  1 V 2.40
Br (0.4591, 0.2000, 0.7459)  1 V 2.40
Br (0.4681, 0.0000, 0.0000)  1 V 2.39
Br (0.9727, 0.3333, 0.6667)  1 V 2.38
Br (0.7169, 0.7408, 0.1973)  1 V 2.67
Br (0.7169, 0.8027, 0.5435)  1 V 2.67
Br (0.7169, 0.4565, 0.2592)  1 V 2.67
Br (0.2773, 0.5945, 0.4713)  1 V 2.66
Br (0.2773, 0.5287, 0.1231)  1 V 2.66
Br (0.2773, 0.8769, 0.4055)  1 V 2.67

This record from Alexandria describes Tl4VBr6 after structural relaxation. The functional is PBE.

abc: 8.7649 8.7649 9.5715
angles: 90.00 90.00 90.00
Last column: nearest neighbours and their distance in Å.
Positions (direct):
Tl (0.3460, 0.1540, 0.2500)  6 Br 3.27-3.47
Tl (0.1540, 0.6540, 0.7500)  6 Br 3.27-3.47
Tl (0.6540, 0.8460, 0.7500)  6 Br 3.27-3.47
Tl (0.8460, 0.3460, 0.7500)  6 Br 3.27-3.47
Tl (0.3460, 0.1540, 0.7500)  6 Br 3.27-3.47
Tl (0.1540, 0.6540, 0.2500)  6 Br 3.27-3.47
Tl (0.8460, 0.3460, 0.2500)  6 Br 3.27-3.47
Tl (0.6540, 0.8460, 0.2500)  6 Br 3.27-3.47
V (0.5000, 0.5000, 0.0000)  6 Br 2.64-2.69
V (0.0000, 0.0000, 0.5000)  6 Br 2.64-2.69
Br (0.2796, 0.8746, 0.5000)  1 V 2.69
Br (0.7796, 0.6254, 0.0000)  1 V 2.69
Br (0.6254, 0.2204, 0.0000)  1 V 2.69
Br (0.1254, 0.2796, 0.5000)  1 V 2.69
Br (0.0000, 0.0000, 0.2240)  1 V 2.64
Br (0.5000, 0.5000, 0.2760)  1 V 2.64
Br (0.3746, 0.7796, 0.0000)  1 V 2.69
Br (0.0000, 0.0000, 0.7760)  1 V 2.64
Br (0.2204, 0.3746, 0.0000)  1 V 2.69
Br (0.5000, 0.5000, 0.7240)  1 V 2.64
Br (0.8746, 0.7204, 0.5000)  1 V 2.69
Br (0.7204, 0.1254, 0.5000)  1 V 2.69

This record from Alexandria describes TlVBr2 after structural relaxation. The functional is PBE.

Computed properties:
For the energy above the lowest structure with this stoichiometry, the calculation gives 0.150 eV/atom.

abc: 8.8176 8.8176 6.9482
angles: 50.61 50.61 90.00
Last column: nearest neighbours and their distance in Å.
Positions (direct):
Tl (0.0000, 0.0000, 0.0000)  2 V 3.07, 4 Br 3.40
Tl (0.7500, 0.2500, 0.5000)  2 V 3.07, 4 Br 3.40
Br (0.5084, 0.1250, 0.2500)  2 V 2.61
Br (0.2416, 0.6250, 0.2500)  2 V 2.61
Br (0.3750, 0.4916, 0.7500)  2 V 2.61
Br (0.8750, 0.7584, 0.7500)  2 V 2.61
V (0.5000, 0.5000, 0.0000)  4 Br 2.61
V (0.2500, 0.7500, 0.5000)  4 Br 2.61

This record from Alexandria describes TlVBr3 after structural relaxation. The functional is PBE.

Computed properties:
For the energy above the lowest structure with this stoichiometry, the calculation gives 0.000 eV/atom.

abc: 6.5767 7.4240 7.4240
angles: 120.49 95.63 95.63
Last column: nearest neighbours and their distance in Å.
Positions (direct):
Tl (0.2500, 0.1941, 0.8059)  8 Br 3.42-3.78
Tl (0.7500, 0.8059, 0.1941)  8 Br 3.42-3.78
V (0.5000, 0.5000, 0.5000)  6 Br 2.63-2.65
V (0.0000, 0.5000, 0.5000)  6 Br 2.63-2.65
Br (0.3072, 0.6677, 0.8270)  2 V 2.63-2.65
Br (0.2500, 0.6610, 0.3390)  2 V 2.65
Br (0.6928, 0.3323, 0.1730)  2 V 2.63-2.65
Br (0.7500, 0.3390, 0.6610)  2 V 2.65
Br (0.1928, 0.1730, 0.3323)  2 V 2.63-2.65
Br (0.8072, 0.8270, 0.6677)  2 V 2.63-2.65

| no. | uncorrected formation energy (eV/atom) |
| --- | --- |
| 1 | -0.834 |
| 2 | -0.838 |
| 3 | -0.326 |
| 4 | -0.808 |